one | # LaCePm2 PBE relaxed
data_LaCePm2
_chemical_formula_sum 'La1 Ce1 Pm2'
_cell_length_a 5.812
_cell_length_b 5.812
_cell_length_c 5.812
_cell_angle_alpha 60.00
_cell_angle_beta 60.00
_cell_angle_gamma 60.00
_space_group_name_H-M_alt 'P 1'
_space_group_IT_number 1
loop_
_space_group_symop_operation_xyz
'x,y,z'
loop_
_atom_site_label
_atom_site_type_symbol
_atom_site_fract_x
_atom_site_fract_y
_atom_site_fract_z
Ce1 Ce 0.000 0.000 0.000
Pm1 Pm 0.250 0.250 0.250
Pm2 Pm 0.750 0.750 0.750
La1 La 0.500 0.500 0.500
# crystal system = cubic
# total magnetic moment = 1.9 Bohr magnetons per cell
# DOS at the Fermi energy = 13.61 states/eV per cell
# symmetry = No. 225
# V = 34.7 A^3/atom

=====

two | # LaCePm2 PBE relaxed
data_LaCePm2
_chemical_formula_sum 'La1 Ce1 Pm2'
_cell_length_a 5.124
_cell_length_b 5.136
_cell_length_c 5.136
_cell_angle_alpha 90.00
_cell_angle_beta 90.00
_cell_angle_gamma 90.00
_space_group_name_H-M_alt 'P 1'
_space_group_IT_number 1
loop_
_space_group_symop_operation_xyz
'x,y,z'
loop_
_atom_site_label
_atom_site_type_symbol
_atom_site_fract_x
_atom_site_fract_y
_atom_site_fract_z
Pm1 Pm 0.000 0.000 0.500
Pm2 Pm 0.000 0.500 0.000
Ce1 Ce 0.500 0.500 0.500
La1 La 0.500 0.000 0.000
# crystal system = tetragonal
# total magnetic moment = 0.8 Bohr magnetons per cell
# DOS at the Fermi energy = 9.10 states/eV per cell
# symmetry = No. 123
# V = 33.8 A^3/atom

=====

According to the calculations, the structures order from most to least stable as two, one.

=====

one | # LaCePmTh PBE relaxed
data_LaCePmTh
_chemical_formula_sum 'La1 Ce1 Pm1 Th1'
_cell_length_a 5.720
_cell_length_b 5.720
_cell_length_c 5.720
_cell_angle_alpha 60.00
_cell_angle_beta 60.00
_cell_angle_gamma 60.00
_space_group_name_H-M_alt 'P 1'
_space_group_IT_number 1
loop_
_space_group_symop_operation_xyz
'x,y,z'
loop_
_atom_site_label
_atom_site_type_symbol
_atom_site_fract_x
_atom_site_fract_y
_atom_site_fract_z
La1 La 0.250 0.250 0.250
Pm1 Pm 0.000 0.000 0.000
Ce1 Ce 0.500 0.500 0.500
Th1 Th 0.750 0.750 0.750
# crystal system = cubic
# total magnetic moment = 1.3 Bohr magnetons per cell
# DOS at the Fermi energy = 14.56 states/eV per cell
# symmetry = No. 216
# V = 33.1 A^3/atom

=====

two | # LaCePmTh PBE relaxed
data_LaCePmTh
_chemical_formula_sum 'La1 Ce1 Pm1 Th1'
_cell_length_a 3.567
_cell_length_b 3.567
_cell_length_c 10.183
_cell_angle_alpha 90.00
_cell_angle_beta 90.00
_cell_angle_gamma 90.00
_space_group_name_H-M_alt 'P 1'
_space_group_IT_number 1
loop_
_space_group_symop_operation_xyz
'x,y,z'
loop_
_atom_site_label
_atom_site_type_symbol
_atom_site_fract_x
_atom_site_fract_y
_atom_site_fract_z
Pm1 Pm 0.500 0.500 0.805
La1 La 0.000 0.000 0.087
Ce1 Ce 0.500 0.500 0.332
Th1 Th 0.000 0.000 0.560
# crystal system = tetragonal
# total magnetic moment = 0.0 Bohr magnetons per cell
# DOS at the Fermi energy = 7.38 states/eV per cell
# symmetry = No. 99
# V = 32.4 A^3/atom

=====

According to the calculations, the structures order from most to least stable as two, one.

=====

one | # LaCe2Pr PBE relaxed
data_LaCe2Pr
_chemical_formula_sum 'La1 Ce2 Pr1'
_cell_length_a 5.771
_cell_length_b 5.771
_cell_length_c 5.771
_cell_angle_alpha 60.00
_cell_angle_beta 60.00
_cell_angle_gamma 60.00
_space_group_name_H-M_alt 'P 1'
_space_group_IT_number 1
loop_
_space_group_symop_operation_xyz
'x,y,z'
loop_
_atom_site_label
_atom_site_type_symbol
_atom_site_fract_x
_atom_site_fract_y
_atom_site_fract_z
Pr1 Pr 0.000 0.000 0.000
Ce1 Ce 0.750 0.750 0.750
Ce2 Ce 0.250 0.250 0.250
La1 La 0.500 0.500 0.500
# crystal system = cubic
# total magnetic moment = 4.3 Bohr magnetons per cell
# DOS at the Fermi energy = 15.65 states/eV per cell
# symmetry = No. 225
# V = 34.0 A^3/atom

=====

two | # LaCe2Pr PBE relaxed
data_LaCe2Pr
_chemical_formula_sum 'La1 Ce2 Pr1'
_cell_length_a 3.432
_cell_length_b 3.432
_cell_length_c 12.526
_cell_angle_alpha 82.13
_cell_angle_beta 82.13
_cell_angle_gamma 60.00
_space_group_name_H-M_alt 'P 1'
_space_group_IT_number 1
loop_
_space_group_symop_operation_xyz
'x,y,z'
loop_
_atom_site_label
_atom_site_type_symbol
_atom_site_fract_x
_atom_site_fract_y
_atom_site_fract_z
Pr1 Pr 0.500 0.500 0.500
La1 La 0.000 0.000 0.000
Ce1 Ce 0.086 0.086 0.743
Ce2 Ce 0.914 0.914 0.257
# crystal system = trigonal
# total magnetic moment = 1.1 Bohr magnetons per cell
# DOS at the Fermi energy = 9.99 states/eV per cell
# symmetry = No. 166
# V = 31.5 A^3/atom

=====

According to the calculations, the structures order from most to least stable as two, one.

=====

one | # LaCe2Pr PBE relaxed
data_LaCe2Pr
_chemical_formula_sum 'La1 Ce2 Pr1'
_cell_length_a 5.117
_cell_length_b 4.993
_cell_length_c 4.993
_cell_angle_alpha 90.00
_cell_angle_beta 90.00
_cell_angle_gamma 90.00
_space_group_name_H-M_alt 'P 1'
_space_group_IT_number 1
loop_
_space_group_symop_operation_xyz
'x,y,z'
loop_
_atom_site_label
_atom_site_type_symbol
_atom_site_fract_x
_atom_site_fract_y
_atom_site_fract_z
Pr1 Pr 0.500 0.000 0.000
Ce1 Ce 0.000 0.000 0.500
Ce2 Ce 0.000 0.500 0.000
La1 La 0.500 0.500 0.500
# crystal system = tetragonal
# total magnetic moment = 1.4 Bohr magnetons per cell
# DOS at the Fermi energy = 10.60 states/eV per cell
# symmetry = No. 123
# V = 31.9 A^3/atom

=====

two | # LaCe2Pr PBE relaxed
data_LaCe2Pr
_chemical_formula_sum 'La1 Ce2 Pr1'
_cell_length_a 3.556
_cell_length_b 3.556
_cell_length_c 11.979
_cell_angle_alpha 81.47
_cell_angle_beta 81.47
_cell_angle_gamma 60.00
_space_group_name_H-M_alt 'P 1'
_space_group_IT_number 1
loop_
_space_group_symop_operation_xyz
'x,y,z'
loop_
_atom_site_label
_atom_site_type_symbol
_atom_site_fract_x
_atom_site_fract_y
_atom_site_fract_z
Ce1 Ce 0.083 0.083 0.750
Ce2 Ce 0.250 0.250 0.250
Pr1 Pr 0.668 0.668 0.995
La1 La 0.498 0.498 0.505
# crystal system = trigonal
# total magnetic moment = 1.3 Bohr magnetons per cell
# DOS at the Fermi energy = 11.10 states/eV per cell
# symmetry = No. 160
# V = 32.3 A^3/atom

=====

According to the calculations, the structures order from most to least stable as one, two.

=====

one | # La12CePr7 PBE relaxed
data_La12CePr7
_chemical_formula_sum 'La12 Ce1 Pr7'
_cell_length_a 9.983
_cell_length_b 9.983
_cell_length_c 9.983
_cell_angle_alpha 110.68
_cell_angle_beta 110.68
_cell_angle_gamma 110.68
_space_group_name_H-M_alt 'P 1'
_space_group_IT_number 1
loop_
_space_group_symop_operation_xyz
'x,y,z'
loop_
_atom_site_label
_atom_site_type_symbol
_atom_site_fract_x
_atom_site_fract_y
_atom_site_fract_z
Pr1 Pr 0.716 0.848 0.542
Pr2 Pr 0.542 0.716 0.848
Pr3 Pr 0.152 0.458 0.284
Pr4 Pr 0.284 0.152 0.458
Pr5 Pr 0.458 0.284 0.152
Pr6 Pr 0.500 0.500 0.500
Pr7 Pr 0.848 0.542 0.716
La1 La 0.372 0.584 0.079
La2 La 0.849 0.911 0.271
La3 La 0.911 0.271 0.849
La4 La 0.151 0.089 0.729
La5 La 0.079 0.372 0.584
La6 La 0.729 0.151 0.089
La7 La 0.921 0.628 0.416
La8 La 0.271 0.849 0.911
La9 La 0.628 0.416 0.921
La10 La 0.416 0.921 0.628
La11 La 0.584 0.079 0.372
La12 La 0.089 0.729 0.151
Ce1 Ce 0.000 0.000 0.000
# crystal system = trigonal
# total magnetic moment = 1.2 Bohr magnetons per cell
# DOS at the Fermi energy = 38.15 states/eV per cell
# symmetry = No. 148
# V = 36.5 A^3/atom

=====

two | # La12CePr7 PBE relaxed
data_La12CePr7
_chemical_formula_sum 'La12 Ce1 Pr7'
_cell_length_a 7.079
_cell_length_b 11.266
_cell_length_c 11.266
_cell_angle_alpha 64.27
_cell_angle_beta 77.91
_cell_angle_gamma 102.09
_space_group_name_H-M_alt 'P 1'
_space_group_IT_number 1
loop_
_space_group_symop_operation_xyz
'x,y,z'
loop_
_atom_site_label
_atom_site_type_symbol
_atom_site_fract_x
_atom_site_fract_y
_atom_site_fract_z
La1 La 0.202 0.926 0.549
La2 La 0.483 0.783 0.432
La3 La 0.915 0.432 0.784
La4 La 0.301 0.216 0.217
La5 La 0.276 0.525 0.926
La6 La 0.724 0.475 0.074
La7 La 0.517 0.217 0.568
La8 La 0.699 0.784 0.783
La9 La 0.085 0.568 0.216
La10 La 0.798 0.074 0.451
La11 La 0.751 0.549 0.525
La12 La 0.249 0.451 0.475
Pr1 Pr 0.633 0.699 0.160
Pr2 Pr 0.933 0.140 0.699
Pr3 Pr 0.067 0.860 0.301
Pr4 Pr 0.500 0.000 0.000
Pr5 Pr 0.367 0.301 0.840
Pr6 Pr 0.793 0.160 0.140
Pr7 Pr 0.207 0.840 0.860
Ce1 Ce 0.000 0.000 0.000
# crystal system = trigonal
# total magnetic moment = 1.1 Bohr magnetons per cell
# DOS at the Fermi energy = 34.18 states/eV per cell
# symmetry = No. 148
# V = 37.2 A^3/atom

=====

According to the calculations, the structures order from most to least stable as one, two.

=====

one | # LaCe2Pt PBE relaxed
data_LaCe2Pt
_chemical_formula_sum 'La1 Ce2 Pt1'
_cell_length_a 3.569
_cell_length_b 6.333
_cell_length_c 6.333
_cell_angle_alpha 115.85
_cell_angle_beta 106.26
_cell_angle_gamma 106.26
_space_group_name_H-M_alt 'P 1'
_space_group_IT_number 1
loop_
_space_group_symop_operation_xyz
'x,y,z'
loop_
_atom_site_label
_atom_site_type_symbol
_atom_site_fract_x
_atom_site_fract_y
_atom_site_fract_z
Ce1 Ce 0.953 0.407 0.996
Ce2 Ce 0.953 0.996 0.407
Pt1 Pt 0.584 0.333 0.333
La1 La 0.511 0.764 0.764
# crystal system = monoclinic
# total magnetic moment = 1.5 Bohr magnetons per cell
# DOS at the Fermi energy = 10.05 states/eV per cell
# symmetry = No. 8
# V = 27.4 A^3/atom

=====

two | # LaCe2Pt PBE relaxed
data_LaCe2Pt
_chemical_formula_sum 'La1 Ce2 Pt1'
_cell_length_a 3.924
_cell_length_b 3.924
_cell_length_c 9.627
_cell_angle_alpha 78.24
_cell_angle_beta 78.24
_cell_angle_gamma 60.00
_space_group_name_H-M_alt 'P 1'
_space_group_IT_number 1
loop_
_space_group_symop_operation_xyz
'x,y,z'
loop_
_atom_site_label
_atom_site_type_symbol
_atom_site_fract_x
_atom_site_fract_y
_atom_site_fract_z
Ce1 Ce 0.271 0.271 0.188
Ce2 Ce 0.063 0.063 0.812
La1 La 0.500 0.500 0.500
Pt1 Pt 0.667 0.667 0.000
# crystal system = trigonal
# total magnetic moment = 0.1 Bohr magnetons per cell
# DOS at the Fermi energy = 10.13 states/eV per cell
# symmetry = No. 160
# V = 31.2 A^3/atom

=====

According to the calculations, the structures order from most to least stable as one, two.